Version 1
! HfTaTl2, optimized geometry, DFT PBE; values from VASP
&SYSTEM
  ibrav = 0, nat = 8, ntyp = 3
/
ATOMIC_SPECIES
Ta 180.95 Ta.upf
Hf 178.49 Hf.upf
Tl 204.38 Tl.upf
CELL_PARAMETERS angstrom
7.8522 0.0000 0.0000
0.0000 7.8522 0.0000
3.9261 3.9261 3.0250
ATOMIC_POSITIONS crystal
Ta 0.0000 0.0000 0.0000
Ta 0.7500 0.2500 0.5000
Hf 0.5000 0.5000 0.0000
Hf 0.2500 0.7500 0.5000
Tl 0.3750 0.3681 0.7500
Tl 0.8750 0.8819 0.7500
Tl 0.1181 0.6250 0.2500
Tl 0.6319 0.1250 0.2500
! SG   No. 122
! M_tot   0.000 μB/f.u.
! Volume   23.3 Å³/atom

=====

Version 2
! HfTaTl2, optimized geometry, DFT PBE; values from VASP
&SYSTEM
  ibrav = 0, nat = 4, ntyp = 3
/
ATOMIC_SPECIES
Tl 204.38 Tl.upf
Ta 180.95 Ta.upf
Hf 178.49 Hf.upf
CELL_PARAMETERS angstrom
0.0000 3.4990 3.4990
3.4990 0.0000 3.4990
3.4990 3.4990 0.0000
ATOMIC_POSITIONS crystal
Tl 0.7500 0.7500 0.7500
Tl 0.2500 0.2500 0.2500
Ta 0.5000 0.5000 0.5000
Hf 0.0000 0.0000 0.0000
! SG   No. 225
! M_tot   0.000 μB/f.u.
! Volume   21.4 Å³/atom

=====

Which structure loses on stability? version 1 does.

=====

Version 1
! TmHf2Ta, optimized geometry, DFT PBE; values from VASP
&SYSTEM
  ibrav = 0, nat = 4, ntyp = 3
/
ATOMIC_SPECIES
Ta 180.95 Ta.upf
Hf 178.49 Hf.upf
Tm 168.93 Tm.upf
CELL_PARAMETERS angstrom
-1.7897 -1.7462 -1.9401
-1.4288 -2.6077 1.0838
-9.4760 4.2441 2.3399
ATOMIC_POSITIONS crystal
Ta 0.0000 0.0000 0.0000
Hf 0.2569 0.2569 0.2294
Hf 0.7431 0.7431 0.7706
Tm 0.5000 0.5000 0.5000
! SG   No. 166
! M_tot   0.000 μB/f.u.
! Volume   22.7 Å³/atom

=====

Version 2
! TmHf2Ta, optimized geometry, DFT PBE; values from VASP
&SYSTEM
  ibrav = 0, nat = 4, ntyp = 3
/
ATOMIC_SPECIES
Tm 168.93 Tm.upf
Hf 178.49 Hf.upf
Ta 180.95 Ta.upf
CELL_PARAMETERS angstrom
-1.5132 3.2485 -0.4019
-3.1845 -1.5634 -0.6473
-1.4893 0.1637 6.9309
ATOMIC_POSITIONS crystal
Tm 0.5000 0.5000 0.5000
Hf 0.0000 0.0000 0.2050
Hf 0.0000 0.0000 0.7950
Ta 0.5000 0.5000 0.0000
! SG   No. 123
! M_tot   0.000 μB/f.u.
! Volume   23.1 Å³/atom

=====

Which structure loses on stability? version 1 does.

=====

Version 1
! Hf3TaV, optimized geometry, DFT PBE; values from VASP
&SYSTEM
  ibrav = 0, nat = 5, ntyp = 3
/
ATOMIC_SPECIES
Hf 178.49 Hf.upf
Ta 180.95 Ta.upf
V 50.94 V.upf
CELL_PARAMETERS angstrom
4.7887 0.0000 0.0000
0.0000 4.7887 0.0000
0.0000 0.0000 4.7887
ATOMIC_POSITIONS crystal
Hf 0.5000 0.0000 0.0000
Hf 0.0000 0.5000 0.0000
Hf 0.0000 0.0000 0.5000
Ta 0.5000 0.5000 0.5000
V 0.0000 0.0000 0.0000
! SG   No. 221
! M_tot   0.000 μB/f.u.
! Volume   22.0 Å³/atom

=====

Version 2
! Hf3TaV, optimized geometry, DFT PBE; values from VASP
&SYSTEM
  ibrav = 0, nat = 5, ntyp = 3
/
ATOMIC_SPECIES
Ta 180.95 Ta.upf
Hf 178.49 Hf.upf
V 50.94 V.upf
CELL_PARAMETERS angstrom
5.0736 0.0000 0.0000
0.0000 5.0736 0.0000
0.0000 0.0000 5.0736
ATOMIC_POSITIONS crystal
Ta 0.0000 0.0000 0.0000
Hf 0.0000 0.0000 0.5000
Hf 0.0000 0.5000 0.0000
Hf 0.5000 0.0000 0.0000
V 0.5000 0.5000 0.5000
! SG   No. 221
! M_tot   3.239 μB/f.u.
! Volume   26.1 Å³/atom

=====

Which structure loses on stability? version 2 does.

=====

Version 1
! HfTaW, optimized geometry, DFT PBE; values from VASP
&SYSTEM
  ibrav = 0, nat = 6, ntyp = 3
/
ATOMIC_SPECIES
W 183.84 W.upf
Ta 180.95 Ta.upf
Hf 178.49 Hf.upf
CELL_PARAMETERS angstrom
-0.4256 -2.6766 -4.7326
4.6698 2.4141 1.4520
0.0064 -2.8746 4.6346
ATOMIC_POSITIONS crystal
W 0.0000 0.5000 0.5000
W 0.5000 0.0000 0.5000
Ta 0.5000 0.5000 0.5000
Ta 0.0000 0.5000 0.0000
Hf 0.7500 0.8764 0.1264
Hf 0.2500 0.1236 0.8736
! SG   No. 74
! M_tot   0.000 μB/f.u.
! Volume   19.2 Å³/atom

=====

Version 2
! HfTaW, optimized geometry, DFT PBE; values from VASP
&SYSTEM
  ibrav = 0, nat = 3, ntyp = 3
/
ATOMIC_SPECIES
Hf 178.49 Hf.upf
Ta 180.95 Ta.upf
W 183.84 W.upf
CELL_PARAMETERS angstrom
3.3221 0.0000 0.0000
0.0000 3.3221 0.0000
-1.6611 -1.6611 5.0673
ATOMIC_POSITIONS crystal
Hf 0.0056 0.0056 0.0112
Ta 0.3171 0.3171 0.6341
W 0.6773 0.6773 0.3547
! SG   No. 107
! M_tot   0.000 μB/f.u.
! Volume   18.6 Å³/atom

=====

Version 3
! HfTaW, optimized geometry, DFT PBE; values from VASP
&SYSTEM
  ibrav = 0, nat = 12, ntyp = 3
/
ATOMIC_SPECIES
Ta 180.95 Ta.upf
Hf 178.49 Hf.upf
W 183.84 W.upf
CELL_PARAMETERS angstrom
5.4292 -0.0195 0.0000
-2.6469 4.7402 0.0000
0.0000 0.0000 8.9460
ATOMIC_POSITIONS crystal
Ta 0.8305 0.6585 0.5000
Ta 0.3415 0.1695 0.5000
Ta 0.9984 0.0016 0.7534
Ta 0.9984 0.0016 0.2466
Hf 0.3330 0.6671 0.3073
Hf 0.6671 0.3329 0.8183
Hf 0.3330 0.6671 0.6927
Hf 0.6671 0.3329 0.1817
W 0.8321 0.1679 0.5000
W 0.1714 0.3427 0.0000
W 0.1702 0.8298 0.0000
W 0.6573 0.8286 0.0000
! SG   No. 38
! M_tot   0.000 μB/f.u.
! Volume   19.1 Å³/atom

=====

Which structure loses on stability? version 2 does.